No. 1
Entry from the Alexandria database: an optimized crystal structure of Pr5Tl2Ga2 (PBE).

a = 8.017 Å, b = 8.115 Å, c = 9.329 Å
α = 115.78°, β = 90.00°, γ = 90.00°
Sites, in units of the cell vectors:
Pr1 0.500 0.500 0.000
Pr2 0.321 0.941 0.262
Pr3 0.821 0.821 0.262
Pr4 0.679 0.059 0.738
Pr5 0.321 0.679 0.738
Pr6 0.179 0.441 0.262
Pr7 0.821 0.559 0.738
Pr8 0.179 0.179 0.738
Pr9 0.000 0.000 0.000
Pr10 0.679 0.321 0.262
Tl1 0.500 0.721 0.442
Tl2 0.000 0.779 0.558
Tl3 0.500 0.279 0.558
Tl4 0.000 0.221 0.442
Ga1 0.615 0.887 0.000
Ga2 0.885 0.387 0.000
Ga3 0.115 0.613 0.000
Ga4 0.385 0.113 0.000

- DOS(E_F): 16.67 states/eV per cell
- V: 30.359 Å³ per atom
- Energy relative to the elements: -3.736 eV per formula unit

***

No. 2
Entry from the Alexandria database: an optimized crystal structure of TbPm3Pr3S8 (PBE).

a = 8.093 Å, b = 8.093 Å, c = 8.126 Å
α = 119.87°, β = 90.00°, γ = 120.00°
Sites, in units of the cell vectors:
S1 0.756 0.004 0.260
S2 0.244 0.487 0.740
S3 0.752 0.996 0.740
S4 0.748 0.496 0.744
S5 0.248 0.004 0.260
S6 0.244 0.996 0.740
S7 0.252 0.504 0.256
S8 0.756 0.513 0.260
Pm1 0.000 0.500 0.500
Pm2 0.500 0.000 0.500
Pm3 0.500 0.500 0.500
Pr1 0.500 0.500 0.000
Pr2 0.000 0.000 0.000
Pr3 0.000 0.500 0.000
Tb1 0.000 0.000 0.500

- DOS(E_F): 6.99 states/eV per cell
- V: 25.140 Å³ per atom
- Energy relative to the elements, uncorrected: -2.053 eV/atom

***

No. 3
Entry from the Alexandria database: an optimized crystal structure of CaZnCu2 (PBE).

a = 3.271 Å, b = 3.268 Å, c = 6.535 Å
α = 90.00°, β = 90.00°, γ = 90.00°
Sites, in units of the cell vectors:
Cu1 0.500 0.500 0.238
Cu2 0.000 0.000 0.061
Ca1 0.500 0.500 0.762
Zn1 0.000 0.000 0.438

- DOS(E_F): 0.91 states/eV per cell
- V: 17.462 Å³ per atom
- Energy relative to the elements: -0.203 eV per formula unit

***

No. 4
Entry from the Alexandria database: an optimized crystal structure of Pm2Y3Pt2 (PBE).

a = 3.777 Å, b = 6.523 Å, c = 9.187 Å
α = 115.28°, β = 90.00°, γ = 106.83°
Sites, in units of the cell vectors:
Pt1 0.172 0.343 0.240
Pt2 0.828 0.657 0.760
Pm1 0.164 0.329 0.812
Pm2 0.836 0.671 0.188
Y1 0.385 0.769 0.566
Y2 0.500 0.000 0.000
Y3 0.615 0.231 0.434

- DOS(E_F): 8.42 states/eV per cell
- V: 27.697 Å³ per atom
- Energy relative to the elements: -5.338 eV per formula unit

***

> The lowest DOS(E_F) belongs to which entry?

CaZnCu2